(1)
Density functional theory data (PBE-GGA) for LaNbRu2 after structural relaxation. Values from VASP.

```
&SYSTEM
  ibrav = 0, nat = 8, ntyp = 3
/
ATOMIC_SPECIES
Ru 101.07 Ru.upf
Nb 92.91 Nb.upf
La 138.91 La.upf
CELL_PARAMETERS angstrom
-7.222 -0.075 -0.367
-0.299 -3.130 6.512
-3.859 1.225 4.427
ATOMIC_POSITIONS crystal
Ru 0.875 0.841 0.750
Ru 0.591 0.125 0.250
Ru 0.375 0.409 0.750
Ru 0.159 0.625 0.250
Nb 0.500 0.500 0.000
Nb 0.250 0.750 0.500
La 0.750 0.250 0.500
La 0.000 0.000 0.000
```


(2)
Density functional theory data (PBE-GGA) for LaNbRu after structural relaxation. Values from VASP.

```
&SYSTEM
  ibrav = 0, nat = 12, ntyp = 3
/
ATOMIC_SPECIES
La 138.91 La.upf
Nb 92.91 Nb.upf
Ru 101.07 Ru.upf
CELL_PARAMETERS angstrom
-3.168 -1.349 0.931
1.600 -1.053 3.918
-4.699 15.168 5.995
ATOMIC_POSITIONS crystal
La 0.500 0.500 0.670
La 0.000 0.000 0.830
La 0.000 0.000 0.170
La 0.500 0.500 0.330
Nb 0.000 0.500 0.500
Nb 0.500 0.000 0.500
Nb 0.500 0.000 0.000
Nb 0.000 0.500 0.000
Ru 0.000 0.000 0.621
Ru 0.500 0.500 0.879
Ru 0.000 0.000 0.379
Ru 0.500 0.500 0.121
```


(3)
Density functional theory data (PBE-GGA) for LaNbRu after structural relaxation. Values from VASP.

```
&SYSTEM
  ibrav = 0, nat = 6, ntyp = 3
/
ATOMIC_SPECIES
Ru 101.07 Ru.upf
La 138.91 La.upf
Nb 92.91 Nb.upf
CELL_PARAMETERS angstrom
-0.411 -3.184 0.696
3.234 -0.311 0.485
-1.488 2.741 11.667
ATOMIC_POSITIONS crystal
Ru 0.500 0.500 0.944
Ru 0.000 0.000 0.444
La 0.000 0.000 0.750
La 0.500 0.500 0.250
Nb 0.000 0.000 0.044
Nb 0.500 0.500 0.544
```


(4)
Density functional theory data (PBE-GGA) for LaNbRu after structural relaxation. Values from VASP.

```
&SYSTEM
  ibrav = 0, nat = 6, ntyp = 3
/
ATOMIC_SPECIES
Nb 92.91 Nb.upf
Ru 101.07 Ru.upf
La 138.91 La.upf
CELL_PARAMETERS angstrom
-2.626 0.462 1.675
1.600 -5.065 1.118
4.641 4.958 4.530
ATOMIC_POSITIONS crystal
Nb 0.024 0.258 0.000
Nb 0.976 0.742 0.000
Ru 0.623 0.632 0.260
Ru 0.377 0.368 0.740
La 0.669 0.177 0.352
La 0.331 0.823 0.648
```


(5)
Density functional theory data (PBE-GGA) for LaNbRu after structural relaxation. Values from VASP.

```
&SYSTEM
  ibrav = 0, nat = 6, ntyp = 3
/
ATOMIC_SPECIES
La 138.91 La.upf
Nb 92.91 Nb.upf
Ru 101.07 Ru.upf
CELL_PARAMETERS angstrom
3.263 0.003 0.000
1.594 5.120 0.004
1.601 1.929 7.720
ATOMIC_POSITIONS crystal
La 0.061 0.164 0.045
La 0.740 0.578 0.272
Nb 0.386 0.061 0.483
Nb 0.054 0.580 0.640
Ru 0.732 0.148 0.713
Ru 0.391 0.673 0.874
```


(6)
Density functional theory data (PBE-GGA) for LaNbRu after structural relaxation. Values from VASP.

```
&SYSTEM
  ibrav = 0, nat = 6, ntyp = 3
/
ATOMIC_SPECIES
Nb 92.91 Nb.upf
Ru 101.07 Ru.upf
La 138.91 La.upf
CELL_PARAMETERS angstrom
7.187 0.000 -0.020
0.000 3.346 0.000
-1.590 0.000 5.571
ATOMIC_POSITIONS crystal
Nb 0.773 0.000 0.750
Nb 0.773 0.500 0.250
Ru 0.008 0.000 0.497
Ru 0.008 0.500 0.997
La 0.363 0.000 0.950
La 0.363 0.500 0.450
```


(7)
Density functional theory data (PBE-GGA) for LaNbRu after structural relaxation. Values from VASP.

```
&SYSTEM
  ibrav = 0, nat = 12, ntyp = 3
/
ATOMIC_SPECIES
Ru 101.07 Ru.upf
La 138.91 La.upf
Nb 92.91 Nb.upf
CELL_PARAMETERS angstrom
6.442 0.000 0.003
0.000 4.438 0.000
-4.739 0.000 9.144
ATOMIC_POSITIONS crystal
Ru 0.149 0.000 0.377
Ru 0.296 0.000 0.704
Ru 0.149 0.500 0.877
Ru 0.296 0.500 0.204
La 0.923 0.500 0.527
La 0.753 0.500 0.182
La 0.753 0.000 0.682
La 0.923 0.000 0.027
Nb 0.360 0.000 0.986
Nb 0.491 0.000 0.313
Nb 0.360 0.500 0.486
Nb 0.491 0.500 0.813
```


(8)
Density functional theory data (PBE-GGA) for LaNbRu after structural relaxation. Values from VASP.

```
&SYSTEM
  ibrav = 0, nat = 12, ntyp = 3
/
ATOMIC_SPECIES
Nb 92.91 Nb.upf
Ru 101.07 Ru.upf
La 138.91 La.upf
CELL_PARAMETERS angstrom
-4.303 4.467 -3.852
-1.089 -3.331 -2.646
-2.539 -6.151 8.787
ATOMIC_POSITIONS crystal
Nb 0.073 0.500 0.680
Nb 0.073 0.000 0.180
Nb 0.927 0.500 0.320
Nb 0.927 0.000 0.820
Ru 0.280 0.500 0.331
Ru 0.720 0.000 0.169
Ru 0.720 0.500 0.669
Ru 0.280 0.000 0.831
La 0.319 0.000 0.566
La 0.681 0.000 0.434
La 0.319 0.500 0.066
La 0.681 0.500 0.934
```


no.,DFT formation energy (eV/atom)
1,0.250
2,-0.078
3,0.010
4,-0.053
5,0.097
6,0.282
7,0.071
8,-0.121